# RbZrS3 PBE relaxed
# formation energy without anion corrections = 1.203 eV per atom
# crystal system = cubic
# E_tot = -3.177 eV/atom
# offset from the most stable computed form = 2386 meV per atom
data_RbZrS3
_cell_length_a 5.175
_cell_length_b 5.175
_cell_length_c 5.175
_cell_angle_alpha 90.00
_cell_angle_beta 90.00
_cell_angle_gamma 90.00
_symmetry_space_group_name_H-M 'P 1'
_symmetry_Int_Tables_number 1
loop_
_symmetry_equiv_pos_as_xyz
'x,y,z'
loop_
_atom_site_label
_atom_site_type_symbol
_atom_site_fract_x
_atom_site_fract_y
_atom_site_fract_z
_atom_site_occupancy
S1 S 0.000 0.500 0.000 1
S2 S 0.000 0.000 0.500 1
S3 S 0.500 0.000 0.000 1
Rb1 Rb 0.000 0.000 0.000 1
Zr1 Zr 0.500 0.500 0.500 1